Ca6Al7O16: relaxed, PBE.

Calculated values
* V: 887.6 Å³/cell
* ΔE_f (raw): -3.03 eV/atom
* total magnetic moment: 0.0 μB/cell
* calculated total energy: -7.080 eV per atom
* symmetry: I-43d (220)
* crystal system: cubic

Geometry as POSCAR:
```
Ca6Al7O16
1.0
-6.054 6.054 6.054
6.054 -6.054 6.054
6.054 6.054 -6.054
Ca Al O
12 14 32
Direct
0.112 0.250 0.362
0.138 0.388 0.750
0.250 0.362 0.112
0.250 0.888 0.638
0.362 0.112 0.250
0.388 0.750 0.138
0.612 0.862 0.750
0.638 0.250 0.888
0.750 0.138 0.388
0.750 0.612 0.862
0.862 0.750 0.612
0.888 0.638 0.250
0.000 0.034 0.500
0.000 0.534 0.500
0.034 0.500 0.000
0.125 0.750 0.875
0.250 0.625 0.375
0.375 0.250 0.625
0.466 0.466 0.466
0.500 0.000 0.034
0.500 0.000 0.534
0.534 0.500 0.000
0.625 0.375 0.250
0.750 0.875 0.125
0.875 0.125 0.750
0.966 0.966 0.966
0.000 0.368 0.500
0.000 0.868 0.500
0.021 0.315 0.906
0.091 0.706 0.685
0.094 0.615 0.409
0.115 0.594 0.909
0.132 0.132 0.132
0.185 0.206 0.591
0.206 0.591 0.185
0.294 0.479 0.385
0.315 0.906 0.021
0.368 0.500 0.000
0.385 0.294 0.479
0.406 0.815 0.521
0.409 0.094 0.615
0.479 0.385 0.294
0.500 0.000 0.368
0.500 0.000 0.868
0.521 0.406 0.815
0.591 0.185 0.206
0.594 0.909 0.115
0.615 0.409 0.094
0.632 0.632 0.632
0.685 0.091 0.706
0.706 0.685 0.091
0.794 0.885 0.979
0.815 0.521 0.406
0.868 0.500 0.000
0.885 0.979 0.794
0.906 0.021 0.315
0.909 0.115 0.594
0.979 0.794 0.885
```